Entry 1:
Below is a relaxed Li2NpSnBr8 crystal, with properties calculated at the PBE-GGA level.

Calculated values
- Volume: 415.8 Å³/cell
- Crystal system: triclinic
- E_form (uncorrected): -1203 meV/atom
- Magnetization: 3.00 μB/f.u.
- Space group: P-1 (2)

a = 7.0049 Å, b = 7.2337 Å, c = 8.8023 Å
α = 72.79°, β = 89.72°, γ = 77.89°
Fractional coordinates of all 12 atoms:
Li 0.0417 0.1480 0.3263
Li 0.9583 0.8520 0.6737
Np 0.5000 0.5000 0.0000
Sn 0.5000 0.5000 0.5000
Br 0.1111 0.7708 0.4362
Br 0.1378 0.7517 0.9480
Br 0.3780 0.2845 0.8202
Br 0.3831 0.2650 0.2907
Br 0.6169 0.7350 0.7093
Br 0.6220 0.7155 0.1798
Br 0.8622 0.2483 0.0520
Br 0.8889 0.2292 0.5638


Entry 2:
Below is a relaxed Li4ZrO4 crystal, with properties calculated at the PBE-GGA level.

Calculated values
- Volume: 200.2 Å³/cell
- Crystal system: orthorhombic
- E_form (uncorrected): -2382 meV/atom
- Magnetization: 0.00 μB/f.u.
- Space group: Cmcm (63)

a = 5.5808 Å, b = 5.5808 Å, c = 6.4652 Å
α = 90.00°, β = 90.00°, γ = 83.93°
Fractional coordinates of all 18 atoms:
Li 0.0998 0.6150 0.7500
Li 0.3436 0.3436 0.0000
Li 0.3436 0.3436 0.5000
Li 0.3850 0.9002 0.7500
Li 0.6150 0.0998 0.2500
Li 0.6564 0.6564 0.0000
Li 0.6564 0.6564 0.5000
Li 0.9002 0.3850 0.2500
Zr 0.1535 0.8465 0.2500
Zr 0.8465 0.1535 0.7500
O 0.1910 0.2268 0.7500
O 0.2268 0.1910 0.2500
O 0.2975 0.7025 0.5101
O 0.2975 0.7025 0.9899
O 0.7025 0.2975 0.0101
O 0.7025 0.2975 0.4899
O 0.7732 0.8090 0.7500
O 0.8090 0.7732 0.2500


Entry 3:
Below is a relaxed PuCdPb2 crystal, with properties calculated at the PBE-GGA level.

Calculated values
- DFT formation energy: 0.024 eV per atom
- Volume: 111.6 Å³/cell
- Crystal system: tetragonal
- Magnetization: 6.17 μB/f.u.
- Space group: P4/mmm (123)

a = 3.8986 Å, b = 3.8986 Å, c = 7.3398 Å
α = 90.00°, β = 90.00°, γ = 90.00°
Fractional coordinates of all 4 atoms:
Pu 0.0000 0.0000 0.0000
Cd 0.0000 0.0000 0.5000
Pb 0.5000 0.5000 0.2714
Pb 0.5000 0.5000 0.7286


Entry 4:
Below is a relaxed BaSr2HgBi crystal, with properties calculated at the PBE-GGA level.

Calculated values
- DFT formation energy: -0.126 eV per atom
- Volume: 255.1 Å³/cell
- Crystal system: tetragonal
- Magnetization: 0.94 μB/f.u.
- Space group: P4/mmm (123)

a = 6.4058 Å, b = 6.4058 Å, c = 6.2158 Å
α = 90.00°, β = 90.00°, γ = 90.00°
Fractional coordinates of all 5 atoms:
Ba 0.0000 0.0000 0.0000
Sr 0.0000 0.5000 0.5000
Sr 0.5000 0.0000 0.5000
Hg 0.5000 0.5000 0.0000
Bi 0.5000 0.5000 0.5000


Entry 5:
Below is a relaxed In5BiPb5 crystal, with properties calculated at the PBE-GGA level.

Calculated values
- DFT formation energy: 0.083 eV per atom
- Volume: 343.6 Å³/cell
- Crystal system: triclinic
- Magnetization: 0.00 μB/f.u.
- Space group: P-1 (2)

a = 6.7192 Å, b = 6.8923 Å, c = 8.0094 Å
α = 74.88°, β = 78.35°, γ = 76.00°
Fractional coordinates of all 11 atoms:
In 0.0000 0.0000 0.0000
In 0.3996 0.1578 0.8122
In 0.4107 0.7394 0.6091
In 0.5893 0.2606 0.3909
In 0.6004 0.8422 0.1878
Bi 0.0000 0.5000 0.0000
Pb 0.1416 0.6372 0.3411
Pb 0.1495 0.1342 0.3350
Pb 0.5000 0.5000 0.0000
Pb 0.8505 0.8658 0.6650
Pb 0.8584 0.3628 0.6589


Entry 6:
Below is a relaxed UVTcRu crystal, with properties calculated at the PBE-GGA level.

Calculated values
- DFT formation energy: -0.039 eV per atom
- Volume: 65.8 Å³/cell
- Crystal system: cubic
- Magnetization: 1.78 μB/f.u.
- Space group: F-43m (216)

a = 4.5318 Å, b = 4.5318 Å, c = 4.5318 Å
α = 60.00°, β = 60.00°, γ = 60.00°
Fractional coordinates of all 4 atoms:
U 0.0000 0.0000 0.0000
V 0.5000 0.5000 0.5000
Tc 0.2500 0.2500 0.2500
Ru 0.7500 0.7500 0.7500


Entry 7:
Below is a relaxed Cu4PS5 crystal, with properties calculated at the PBE-GGA level.

Calculated values
- Volume: 160.6 Å³/cell
- Crystal system: tetragonal
- E_form (uncorrected): -90 meV/atom
- Magnetization: 0.00 μB/f.u.
- Space group: I4 (79)

a = 6.0144 Å, b = 6.0144 Å, c = 6.0144 Å
α = 103.25°, β = 103.25°, γ = 122.79°
Fractional coordinates of all 10 atoms:
Cu 0.1392 0.2630 0.4022
Cu 0.2630 0.8608 0.1237
Cu 0.7370 0.1392 0.8763
Cu 0.8608 0.7370 0.5978
P 0.4658 0.4658 0.0000
S 0.1055 0.4495 0.7755
S 0.3300 0.1055 0.6560
S 0.4495 0.6740 0.3440
S 0.6740 0.3300 0.2245
S 0.8457 0.8457 0.0000


Entry 8:
Below is a relaxed MgIn2Rh crystal, with properties calculated at the PBE-GGA level.

Calculated values
- DFT formation energy: -0.219 eV per atom
- Volume: 76.5 Å³/cell
- Crystal system: monoclinic
- Magnetization: 0.00 μB/f.u.
- Space group: P2/m (10)

a = 3.2847 Å, b = 3.8903 Å, c = 5.9890 Å
α = 90.00°, β = 90.15°, γ = 90.00°
Fractional coordinates of all 4 atoms:
Mg 0.0000 0.0000 0.0000
In 0.4989 0.5000 0.7356
In 0.5011 0.5000 0.2644
Rh 0.0000 0.0000 0.5000


Entry 9:
Below is a relaxed Li4Cd15Hg crystal, with properties calculated at the PBE-GGA level.

Calculated values
- DFT formation energy: -0.121 eV per atom
- Volume: 424.7 Å³/cell
- Crystal system: tetragonal
- Magnetization: 0.00 μB/f.u.
- Space group: P4/mmm (123)

a = 4.3799 Å, b = 4.3799 Å, c = 22.1366 Å
α = 90.00°, β = 90.00°, γ = 90.00°
Fractional coordinates of all 20 atoms:
Li 0.0000 0.0000 0.0995
Li 0.0000 0.0000 0.2947
Li 0.0000 0.0000 0.7053
Li 0.0000 0.0000 0.9005
Cd 0.0000 0.5000 0.0000
Cd 0.0000 0.5000 0.1971
Cd 0.0000 0.5000 0.3934
Cd 0.0000 0.5000 0.6066
Cd 0.0000 0.5000 0.8029
Cd 0.5000 0.0000 0.0000
Cd 0.5000 0.0000 0.1971
Cd 0.5000 0.0000 0.3934
Cd 0.5000 0.0000 0.6066
Cd 0.5000 0.0000 0.8029
Cd 0.5000 0.5000 0.0989
Cd 0.5000 0.5000 0.2961
Cd 0.5000 0.5000 0.5000
Cd 0.5000 0.5000 0.7039
Cd 0.5000 0.5000 0.9011
Hg 0.0000 0.0000 0.5000


Entry 10:
Below is a relaxed Tl3Hg3Bi crystal, with properties calculated at the PBE-GGA level.

Calculated values
- DFT formation energy: -0.007 eV per atom
- Polymorph energy (0 for the lowest one): 0.000 eV/atom
- Volume: 416.8 Å³/cell
- Crystal system: hexagonal
- Magnetization: 0.00 μB/f.u.
- Space group: P6_3/m (176)

a = 9.2257 Å, b = 9.2257 Å, c = 5.6549 Å
α = 90.00°, β = 90.00°, γ = 120.00°
Fractional coordinates of all 14 atoms:
Tl 0.0917 0.4590 0.2500
Tl 0.3673 0.9083 0.2500
Tl 0.4590 0.3673 0.7500
Tl 0.5410 0.6327 0.2500
Tl 0.6327 0.0917 0.7500
Tl 0.9083 0.5410 0.7500
Hg 0.0407 0.2275 0.7500
Hg 0.1868 0.9593 0.7500
Hg 0.2275 0.1868 0.2500
Hg 0.7725 0.8132 0.7500
Hg 0.8132 0.0407 0.2500
Hg 0.9593 0.7725 0.2500
Bi 0.3333 0.6667 0.7500
Bi 0.6667 0.3333 0.2500


Entry 11:
Below is a relaxed Li2CdNi2 crystal, with properties calculated at the PBE-GGA level.

Calculated values
- DFT formation energy: 0.103 eV per atom
- Polymorph energy (0 for the lowest one): 0.038 eV/atom
- Volume: 132.3 Å³/cell
- Crystal system: tetragonal
- Magnetization: 0.00 μB/f.u.
- Space group: P4/mbm (127)

a = 6.8880 Å, b = 6.8880 Å, c = 2.7894 Å
α = 90.00°, β = 90.00°, γ = 90.00°
Fractional coordinates of all 10 atoms:
Li 0.1220 0.3780 0.0000
Li 0.3780 0.8780 0.0000
Li 0.6220 0.1220 0.0000
Li 0.8780 0.6220 0.0000
Cd 0.0000 0.0000 0.0000
Cd 0.5000 0.5000 0.0000
Ni 0.1760 0.6760 0.5000
Ni 0.3240 0.1760 0.5000
Ni 0.6760 0.8240 0.5000
Ni 0.8240 0.3240 0.5000


Entry 12:
Below is a relaxed ZnSnHg2 crystal, with properties calculated at the PBE-GGA level.

Calculated values
- DFT formation energy: 0.090 eV per atom
- Polymorph energy (0 for the lowest one): 0.000 eV/atom
- Volume: 96.5 Å³/cell
- Crystal system: trigonal
- Magnetization: 0.00 μB/f.u.
- Space group: R-3m (166)

a = 10.5433 Å, b = 10.5433 Å, c = 10.5433 Å
α = 17.89°, β = 17.89°, γ = 17.89°
Fractional coordinates of all 4 atoms:
Zn 0.0000 0.0000 0.0000
Sn 0.5000 0.5000 0.5000
Hg 0.4047 0.4047 0.4047
Hg 0.5953 0.5953 0.5953


Entry 13:
Below is a relaxed K4CuPb crystal, with properties calculated at the PBE-GGA level.

Calculated values
- DFT formation energy: 0.498 eV per atom
- Volume: 251.4 Å³/cell
- Crystal system: cubic
- Magnetization: 0.00 μB/f.u.
- Space group: F-43m (216)

a = 7.0844 Å, b = 7.0844 Å, c = 7.0844 Å
α = 60.00°, β = 60.00°, γ = 60.00°
Fractional coordinates of all 6 atoms:
K 0.1252 0.1252 0.1252
K 0.1252 0.1252 0.6245
K 0.1252 0.6245 0.1252
K 0.6245 0.1252 0.1252
Cu 0.5000 0.5000 0.5000
Pb 0.7500 0.7500 0.7500


Entry 14:
Below is a relaxed KSb crystal, with properties calculated at the PBE-GGA level.

Calculated values
- Polymorph energy (0 for the lowest one): 0.235 eV/atom
- Volume: 557.7 Å³/cell
- Crystal system: orthorhombic
- E_form (uncorrected): -205 meV/atom
- Magnetization: 0.00 μB/f.u.
- Space group: Pmmn (59)

a = 6.2730 Å, b = 12.7240 Å, c = 6.9866 Å
α = 90.00°, β = 90.00°, γ = 90.00°
Fractional coordinates of all 12 atoms:
K 0.2500 0.0727 0.0798
K 0.2500 0.4273 0.0798
K 0.2500 0.7500 0.4106
K 0.7500 0.2500 0.5894
K 0.7500 0.5727 0.9202
K 0.7500 0.9273 0.9202
Sb 0.2500 0.0357 0.5693
Sb 0.2500 0.2500 0.4197
Sb 0.2500 0.4643 0.5693
Sb 0.7500 0.5357 0.4307
Sb 0.7500 0.7500 0.5803
Sb 0.7500 0.9643 0.4307


Entry 15:
Below is a relaxed LaEuGe crystal, with properties calculated at the PBE-GGA level.

Calculated values
- DFT formation energy: -0.538 eV per atom
- Polymorph energy (0 for the lowest one): 0.000 eV/atom
- Volume: 98.6 Å³/cell
- Crystal system: cubic
- Magnetization: 7.96 μB/f.u.
- Space group: F-43m (216)

a = 5.1860 Å, b = 5.1860 Å, c = 5.1860 Å
α = 60.00°, β = 60.00°, γ = 60.00°
Fractional coordinates of all 3 atoms:
La 0.0000 0.0000 0.0000
Eu 0.5000 0.5000 0.5000
Ge 0.7500 0.7500 0.7500


Entry 16:
Below is a relaxed LiMgRe crystal, with properties calculated at the PBE-GGA level.

Calculated values
- DFT formation energy: 0.290 eV per atom
- Polymorph energy (0 for the lowest one): 0.237 eV/atom
- Volume: 48.8 Å³/cell
- Crystal system: tetragonal
- Magnetization: 0.00 μB/f.u.
- Space group: I4mm (107)

a = 7.1673 Å, b = 7.1673 Å, c = 7.1673 Å
α = 158.65°, β = 158.65°, γ = 30.37°
Fractional coordinates of all 3 atoms:
Li 0.0000 0.0000 0.0000
Mg 0.6845 0.6845 0.0000
Re 0.3448 0.3448 0.0000


Entry 17:
Below is a relaxed BaW2Au crystal, with properties calculated at the PBE-GGA level.

Calculated values
- DFT formation energy: 1.003 eV per atom
- Polymorph energy (0 for the lowest one): 0.489 eV/atom
- Volume: 95.7 Å³/cell
- Crystal system: orthorhombic
- Magnetization: 0.00 μB/f.u.
- Space group: Imm2 (44)

a = 6.0751 Å, b = 6.0751 Å, c = 6.0751 Å
α = 148.46°, β = 124.39°, γ = 65.35°
Fractional coordinates of all 4 atoms:
Ba 0.0000 0.0000 0.0000
W 0.2976 0.7976 0.5000
W 0.4718 0.4718 0.0000
Au 0.7075 0.2075 0.5000


Entry 18:
Below is a relaxed Pu5CdAu4 crystal, with properties calculated at the PBE-GGA level.

Calculated values
- DFT formation energy: 0.142 eV per atom
- Volume: 230.6 Å³/cell
- Crystal system: tetragonal
- Magnetization: 18.41 μB/f.u.
- Space group: P4/mmm (123)

a = 3.9188 Å, b = 3.9188 Å, c = 15.0179 Å
α = 90.00°, β = 90.00°, γ = 90.00°
Fractional coordinates of all 10 atoms:
Pu 0.0000 0.0000 0.0000
Pu 0.0000 0.0000 0.1991
Pu 0.0000 0.0000 0.3857
Pu 0.0000 0.0000 0.6143
Pu 0.0000 0.0000 0.8009
Cd 0.5000 0.5000 0.5000
Au 0.5000 0.5000 0.0999
Au 0.5000 0.5000 0.2925
Au 0.5000 0.5000 0.7075
Au 0.5000 0.5000 0.9001


Entry 19:
Below is a relaxed CaMg2Ga crystal, with properties calculated at the PBE-GGA level.

Calculated values
- DFT formation energy: -0.125 eV per atom
- Volume: 98.6 Å³/cell
- Crystal system: tetragonal
- Magnetization: 0.00 μB/f.u.
- Space group: P4/mmm (123)

a = 3.5180 Å, b = 3.5180 Å, c = 7.9694 Å
α = 90.00°, β = 90.00°, γ = 90.00°
Fractional coordinates of all 4 atoms:
Ca 0.0000 0.0000 0.0000
Mg 0.5000 0.5000 0.2996
Mg 0.5000 0.5000 0.7004
Ga 0.0000 0.0000 0.5000


Entry 20:
Below is a relaxed Ac2LaPrSm2 crystal, with properties calculated at the PBE-GGA level.

Calculated values
- DFT formation energy: 0.067 eV per atom
- Volume: 460.7 Å³/cell
- Crystal system: orthorhombic
- Magnetization: 0.00 μB/f.u.
- Space group: Pmc2_1 (26)

a = 5.9954 Å, b = 10.3301 Å, c = 7.4380 Å
α = 90.00°, β = 90.00°, γ = 90.00°
Fractional coordinates of all 12 atoms:
Ac 0.0000 0.0003 0.0000
Ac 0.0000 0.9997 0.5000
Ac 0.5000 0.1696 0.2504
Ac 0.5000 0.8304 0.7504
La 0.5000 0.4998 0.9996
La 0.5000 0.5002 0.4996
Pr 0.0000 0.3340 0.7492
Pr 0.0000 0.6660 0.2492
Sm 0.0000 0.3428 0.2494
Sm 0.0000 0.6572 0.7494
Sm 0.5000 0.1747 0.7501
Sm 0.5000 0.8253 0.2501


Entry 21:
Below is a relaxed LaPuPb2 crystal, with properties calculated at the PBE-GGA level.

Calculated values
- DFT formation energy: -0.365 eV per atom
- Volume: 119.0 Å³/cell
- Crystal system: tetragonal
- Magnetization: 5.93 μB/f.u.
- Space group: P4/mmm (123)

a = 3.5702 Å, b = 3.5702 Å, c = 9.3325 Å
α = 90.00°, β = 90.00°, γ = 90.00°
Fractional coordinates of all 4 atoms:
La 0.0000 0.0000 0.0000
Pu 0.0000 0.0000 0.5000
Pb 0.5000 0.5000 0.2567
Pb 0.5000 0.5000 0.7433


Entry 22:
Below is a relaxed ZnBrCl crystal, with properties calculated at the PBE-GGA level.

Calculated values
- Polymorph energy (0 for the lowest one): 0.626 eV/atom
- Volume: 75.3 Å³/cell
- Crystal system: tetragonal
- E_form (uncorrected): -388 meV/atom
- Magnetization: 0.00 μB/f.u.
- Space group: I4mm (107)

a = 7.2768 Å, b = 7.2768 Å, c = 7.2768 Å
α = 153.74°, β = 153.74°, γ = 37.48°
Fractional coordinates of all 3 atoms:
Zn 0.0000 0.0000 0.0000
Br 0.6197 0.6197 0.0000
Cl 0.3921 0.3921 0.0000


Entry 23:
Below is a relaxed InHIO2 crystal, with properties calculated at the PBE-GGA level.

Calculated values
- Polymorph energy (0 for the lowest one): 0.000 eV/atom
- Volume: 112.1 Å³/cell
- Crystal system: tetragonal
- Magnetization: 0.00 μB/f.u.
- Space group: P4/mmm (123)

a = 3.9814 Å, b = 3.9814 Å, c = 7.0747 Å
α = 90.00°, β = 90.00°, γ = 90.00°
Fractional coordinates of all 5 atoms:
In 0.0000 0.0000 0.0000
H 0.5000 0.5000 0.5000
I 0.0000 0.0000 0.5000
O 0.0000 0.5000 0.0000
O 0.5000 0.0000 0.0000


Entry 24:
Below is a relaxed TcNi2Pt crystal, with properties calculated at the PBE-GGA level.

Calculated values
- DFT formation energy: -0.058 eV per atom
- Polymorph energy (0 for the lowest one): 0.022 eV/atom
- Volume: 52.1 Å³/cell
- Crystal system: tetragonal
- Magnetization: 0.35 μB/f.u.
- Space group: P4mm (99)

a = 2.6779 Å, b = 2.6779 Å, c = 7.2587 Å
α = 90.00°, β = 90.00°, γ = 90.00°
Fractional coordinates of all 4 atoms:
Tc 0.0000 0.0000 0.0000
Ni 0.0000 0.0000 0.4638
Ni 0.5000 0.5000 0.2382
Pt 0.5000 0.5000 0.7237


Entry 25:
Below is a relaxed RbPrN crystal, with properties calculated at the PBE-GGA level.

Calculated values
- Volume: 239.8 Å³/cell
- Crystal system: monoclinic
- E_form (uncorrected): -475 meV/atom
- Magnetization: 0.00 μB/f.u.
- Space group: C2/m (12)

a = 8.9701 Å, b = 8.9701 Å, c = 7.2023 Å
α = 90.39°, β = 90.39°, γ = 24.44°
Fractional coordinates of all 6 atoms:
Rb 0.0807 0.0807 0.2521
Rb 0.9193 0.9193 0.7479
Pr 0.2070 0.2070 0.6710
Pr 0.7930 0.7930 0.3290
N 0.3198 0.3198 0.5096
N 0.6802 0.6802 0.4904